# 1
BiMoAs2H after structural relaxation. Source: Alexandria, functional PBE.

Summary:
The calculation puts the total DFT energy (no corrections) at -22.0 eV/f.u.

a = 5.4296 Å, b = 5.4296 Å, c = 3.6762 Å
α = 90.00°, β = 90.00°, γ = 90.00°
Fractional positions:
Bi  0.0000  0.0000  0.0000
Mo  0.5000  0.5000  0.5000
As  0.0000  0.5000  0.0000
As  0.5000  0.0000  0.0000
H  0.0000  0.0000  0.5000



# 2
Sm3Ga2Si after structural relaxation. Source: Alexandria, functional PBE.

Summary:
For the formation energy from raw total energies, the calculation gives -0.61 eV per atom. The calculation puts the total DFT energy (no corrections) at -29.3 eV/f.u.

a = 12.0682 Å, b = 4.0877 Å, c = 12.2363 Å
α = 90.00°, β = 90.00°, γ = 90.00°
Fractional positions:
Sm  0.0628  0.2500  0.1227
Sm  0.1162  0.7500  0.5529
Sm  0.2088  0.2500  0.7888
Sm  0.2912  0.7500  0.2888
Sm  0.3838  0.2500  0.0529
Sm  0.4372  0.7500  0.6227
Sm  0.5628  0.2500  0.3773
Sm  0.6162  0.7500  0.9471
Sm  0.7088  0.2500  0.7112
Sm  0.7912  0.7500  0.2112
Sm  0.8838  0.2500  0.4471
Sm  0.9372  0.7500  0.8773
Ga  0.0216  0.7500  0.3097
Ga  0.1899  0.7500  0.9872
Ga  0.3101  0.2500  0.4872
Ga  0.4784  0.2500  0.8097
Ga  0.5216  0.7500  0.1903
Ga  0.6899  0.7500  0.5128
Ga  0.8101  0.2500  0.0128
Ga  0.9784  0.2500  0.6903
Si  0.1315  0.2500  0.3697
Si  0.3685  0.7500  0.8697
Si  0.6315  0.2500  0.1303
Si  0.8685  0.7500  0.6303



# 3
Te3C after structural relaxation. Source: Alexandria, functional PBE.

Summary:
For the formation energy from raw total energies, the calculation gives 1.68 eV per atom. The calculation puts the total DFT energy (no corrections) at -11.9 eV/f.u. Its polymorph energy (0 for the lowest one) is 874 meV/atom.

a = 7.1775 Å, b = 7.1775 Å, c = 7.1775 Å
α = 90.00°, β = 90.00°, γ = 90.00°
Fractional positions:
Te  0.0000  0.0000  0.0000
Te  0.0000  0.5000  0.5000
Te  0.2500  0.2500  0.2500
Te  0.2500  0.2500  0.7500
Te  0.2500  0.7500  0.2500
Te  0.2500  0.7500  0.7500
Te  0.5000  0.0000  0.5000
Te  0.5000  0.5000  0.0000
Te  0.7500  0.2500  0.2500
Te  0.7500  0.2500  0.7500
Te  0.7500  0.7500  0.2500
Te  0.7500  0.7500  0.7500
C  0.0000  0.0000  0.5000
C  0.0000  0.5000  0.0000
C  0.5000  0.0000  0.0000
C  0.5000  0.5000  0.5000



> What is the total DFT energy (no corrections) in the second record?

-29.3 eV/f.u.



> Which value of total DFT energy (no corrections) does entry 2 give?

-29.3 eV/f.u.



> Which formula does entry 2 have?

Sm3Ga2Si